<w>
VASP calculation (PBE-GGA) on a relaxed Pm2SmZn crystal.

a b c (Å): 4.8459 4.8459 4.8362
angles (deg): 90.00 90.00 90.00
With the nearest neighbours (Å) after each atom.
Space group P4/mmm (No. 123)
Symmetry-distinct sites (fractional):
Pm 0.0000 0.5000 0.0000 (multiplicity 2)  4 Sm 3.42, 4 Zn 3.42, 4 Pm 3.43
Sm 0.0000 0.0000 0.5000 (multiplicity 1)  8 Pm 3.42, 4 Zn 3.43
Zn 0.5000 0.5000 0.5000 (multiplicity 1)  8 Pm 3.42, 4 Sm 3.43

Output
Magnetic moment (μB/f.u.): 0.01
ρ (Mg/m³): 7.40
Volume (Å³ per atom): 28.39


<x>
VASP calculation (PBE-GGA) on a relaxed Pm2SmZn crystal.

a b c (Å): 3.5264 3.5264 36.2355
angles (deg): 90.00 90.00 120.00
With the nearest neighbours (Å) after each atom.
Space group R-3m (No. 166, hexagonal axes)
Symmetry-distinct sites (fractional):
Pm 0.0000 0.0000 0.0863 (multiplicity 6)  1 Zn 3.13
Sm 0.0000 0.0000 0.5000 (multiplicity 3)  6 Sm 3.53, 6 Pm 3.55
Zn 0.0000 0.0000 0.0000 (multiplicity 3)  2 Pm 3.13

Output
Magnetic moment (μB/f.u.): 0.00
ρ (Mg/m³): 6.46
Volume (Å³ per atom): 32.52


<y>
VASP calculation (PBE-GGA) on a relaxed Pm2SmZn crystal.

a b c (Å): 7.7096 7.7096 7.7096
angles (deg): 90.00 90.00 90.00
With the nearest neighbours (Å) after each atom.
Space group F-43m (No. 216)
Symmetry-distinct sites (fractional):
Pm 0.0000 0.0000 0.0000 (multiplicity 4)  4 Pm 3.34, 4 Zn 3.34
Pm 0.2500 0.2500 0.2500 (multiplicity 4)  4 Sm 3.34, 4 Pm 3.34
Sm 0.0000 0.0000 0.5000 (multiplicity 4)  4 Pm 3.34, 4 Zn 3.34
Zn 0.2500 0.2500 0.7500 (multiplicity 4)  4 Pm 3.34, 4 Sm 3.34

Output
Magnetic moment (μB/f.u.): 0.00
ρ (Mg/m³): 7.33
Volume (Å³ per atom): 28.64


Most favorable structure: <w>. The second most favorable one is 9.6 kJ/mol of atoms above it.


<w>
VASP calculation (PBE-GGA) on a relaxed Pm2SmZn crystal.

a b c (Å): 3.6568 3.6568 8.7881
angles (deg): 90.00 90.00 90.00
With the nearest neighbours (Å) after each atom.
Space group P4/mmm (No. 123)
Symmetry-distinct sites (fractional):
Pm 0.0000 0.0000 0.2079 (multiplicity 2)  4 Zn 3.17
Sm 0.5000 0.5000 0.5000 (multiplicity 1)  8 Pm 3.64, 4 Sm 3.66
Zn 0.5000 0.5000 0.0000 (multiplicity 1)  8 Pm 3.17

Output
Magnetic moment (μB/f.u.): 0.00
ρ (Mg/m³): 7.15
Volume (Å³ per atom): 29.38


<x>
VASP calculation (PBE-GGA) on a relaxed Pm2SmZn crystal.

a b c (Å): 7.7104 7.7104 7.7104
angles (deg): 90.00 90.00 90.00
With the nearest neighbours (Å) after each atom.
Space group Fm-3m (No. 225)
Symmetry-distinct sites (fractional):
Pm 0.2500 0.2500 0.2500 (multiplicity 8)  4 Sm 3.34, 4 Zn 3.34
Sm 0.0000 0.0000 0.0000 (multiplicity 4)  8 Pm 3.34
Zn 0.0000 0.0000 0.5000 (multiplicity 4)  8 Pm 3.34

Output
Magnetic moment (μB/f.u.): 0.00
ρ (Mg/m³): 7.33
Volume (Å³ per atom): 28.65


Most favorable structure: <w>. The second most favorable one is 20.0 kJ/mol of atoms above it.


<w>
VASP calculation (PBE-GGA) on a relaxed Pm4SmZn crystal.

a b c (Å): 3.6530 3.6530 13.9640
angles (deg): 90.00 90.00 90.00
With the nearest neighbours (Å) after each atom.
Space group P4/mmm (No. 123)
Symmetry-distinct sites (fractional):
Pm 0.0000 0.0000 0.1301 (multiplicity 2)  4 Zn 3.16
Pm 0.5000 0.5000 0.3170 (multiplicity 2)  4 Sm 3.63, 8 Pm 3.65-3.67
Sm 0.0000 0.0000 0.5000 (multiplicity 1)  8 Pm 3.63, 4 Sm 3.65
Zn 0.5000 0.5000 0.0000 (multiplicity 1)  8 Pm 3.16

Output
Magnetic moment (μB/f.u.): 0.00
ρ (Mg/m³): 7.09
Volume (Å³ per atom): 31.06


<x>
VASP calculation (PBE-GGA) on a relaxed Pm4SmZn crystal.

a b c (Å): 12.4673 3.7418 8.6828
angles (deg): 90.00 112.25 90.00
With the nearest neighbours (Å) after each atom.
Space group Cm (No. 8)
Symmetry-distinct sites (fractional):
Pm 0.0000 0.0000 0.0000 (multiplicity 2)  2 Zn 3.23, 1 Pm 3.52
Pm 0.0262 0.0000 0.4371 (multiplicity 2)  2 Zn 3.10, 2 Pm 3.46
Pm 0.3053 0.0000 0.1565 (multiplicity 2)  2 Zn 3.10, 2 Pm 3.46
Pm 0.3320 0.0000 0.5948 (multiplicity 2)  2 Zn 3.22, 1 Pm 3.53
Sm 0.1656 0.5000 0.7968 (multiplicity 2)  10 Pm 3.49-3.86, 2 Sm 3.74
Zn 0.1663 0.5000 0.2977 (multiplicity 2)  8 Pm 3.10-3.23

Output
Magnetic moment (μB/f.u.): 0.00
ρ (Mg/m³): 7.05
Volume (Å³ per atom): 31.24


Most favorable structure: <w>. The second most favorable one is 1.6 kJ/mol of atoms above it.